No. 1
Density functional theory data (PBE-GGA) for a relaxed structure of SrPrTlGe.

Structure (POSCAR):
```
SrPrTlGe
1.0
-0.549 2.167 -5.035
3.899 -0.840 -3.800
-1.017 -3.274 -4.312
Pr Sr Tl Ge
1 1 1 1
direct
0.250 0.250 0.250 Pr
0.750 0.750 0.750 Sr
0.500 0.500 0.500 Tl
0.000 0.000 0.000 Ge
```

Output
- N(E_F): 1.97 states/eV/cell
- Formation energy from the elements: -1.59 eV/f.u.
- Volume: 118.2 Å³/f.u.
- DFT total energy: -3.760 eV per atom
- Symmetry: F-43m (216)

No. 2
Density functional theory data (PBE-GGA) for a relaxed structure of PmDy6Ho3.

Structure (POSCAR):
```
PmDy6Ho3
1.0
6.176 0.000 0.000
0.000 10.826 -1.594
0.000 -3.970 10.198
Pm Dy Ho
2 12 6
direct
0.147 0.206 0.794 Pm
0.647 0.794 0.206 Pm
0.033 0.711 0.619 Dy
0.533 0.619 0.711 Dy
0.365 0.538 0.959 Dy
0.865 0.959 0.538 Dy
0.414 0.954 0.046 Dy
0.642 0.283 0.717 Dy
0.142 0.717 0.283 Dy
0.914 0.046 0.954 Dy
0.365 0.041 0.462 Dy
0.865 0.462 0.041 Dy
0.033 0.381 0.289 Dy
0.533 0.289 0.381 Dy
0.458 0.937 0.718 Ho
0.958 0.718 0.937 Ho
0.071 0.390 0.610 Ho
0.571 0.610 0.390 Ho
0.958 0.063 0.282 Ho
0.458 0.282 0.063 Ho
```

Output
- N(E_F): 27.90 states/eV/cell
- Formation energy from the elements: 1.49 eV/f.u.
- Volume: 321.4 Å³/f.u.
- Energy above the lowest structure with this stoichiometry: 0 meV per atom
- DFT total energy: -4.460 eV per atom
- Symmetry: Cmc2_1 (36)

No. 3
Density functional theory data (PBE-GGA) for a relaxed structure of Nd2ThAg2Sn2.

Structure (POSCAR):
```
Nd2ThAg2Sn2
1.0
-2.011 -4.239 -1.336
2.673 -4.081 0.019
-2.257 -4.355 8.309
Nd Th Ag Sn
2 1 2 2
direct
0.129 0.129 0.612 Nd
0.871 0.871 0.388 Nd
0.000 0.000 0.000 Th
0.592 0.592 0.224 Ag
0.408 0.408 0.776 Ag
0.734 0.734 0.797 Sn
0.266 0.266 0.203 Sn
```

Output
- N(E_F): 5.12 states/eV/cell
- Formation energy from the elements: -2.35 eV/f.u.
- Volume: 190.2 Å³/f.u.
- DFT total energy: -4.716 eV per atom
- Symmetry: R-3m (166)

No. 4
Density functional theory data (PBE-GGA) for a relaxed structure of LaZn2Ni8.

Structure (POSCAR):
```
LaZn2Ni8
1.0
6.034 0.000 0.000
0.000 6.034 0.000
0.000 0.000 4.730
La Zn Ni
1 2 8
direct
0.500 0.500 0.500 La
0.500 0.000 0.000 Zn
0.000 0.500 0.000 Zn
0.807 0.807 0.255 Ni
0.807 0.193 0.745 Ni
0.807 0.807 0.745 Ni
0.807 0.193 0.255 Ni
0.193 0.807 0.255 Ni
0.193 0.807 0.745 Ni
0.193 0.193 0.255 Ni
0.193 0.193 0.745 Ni
```

Output
- N(E_F): 18.78 states/eV/cell
- Formation energy from the elements: 3.09 eV/f.u.
- Volume: 172.2 Å³/f.u.
- DFT total energy: -4.603 eV per atom
- Symmetry: P4/mmm (123)

Which of these has the lowest formation energy from the elements? Nd2ThAg2Sn2

What is the formula in the fourth record? LaZn2Ni8